Record 1
{
  "formula": "MgCd8Rh2",
  "functional": "PBE",
  "state": "optimized geometry",
  "lattice_angstrom": [[6.236, -4.105, 0.000], [6.236, 4.105, 0.000], [-1.731, 0.000, 4.345]],
  "species": ["Mg", "Cd", "Cd", "Cd", "Cd", "Cd", "Cd", "Cd", "Cd", "Rh", "Rh"],
  "frac_coords": [[0.000, 0.000, 0.000], [0.136, 0.136, 0.636], [0.143, 0.540, 0.842], [0.327, 0.673, 0.500], [0.460, 0.857, 0.158], [0.540, 0.143, 0.842], [0.673, 0.327, 0.500], [0.857, 0.460, 0.158], [0.864, 0.864, 0.364], [0.279, 0.279, 0.278], [0.721, 0.721, 0.722]],
  "n_ef_per_ev_atom": 0.490,
  "rho_g_cm3": 8.431,
  "formation_enthalpy_0k_ev_per_fu": -0.858,
  "relative_energy_ev_per_atom": 0.000
}

=====

Record 2
{
  "formula": "Co3Pd",
  "functional": "PBE",
  "state": "optimized geometry",
  "lattice_angstrom": [[2.600, 0.000, 0.000], [0.000, 4.143, 0.000], [0.000, 0.000, 4.519]],
  "species": ["Co", "Co", "Co", "Pd"],
  "frac_coords": [[0.000, 0.000, 0.000], [0.000, 0.500, 0.310], [0.500, 0.000, 0.467], [0.500, 0.500, 0.811]],
  "n_ef_per_ev_atom": 0.896,
  "rho_g_cm3": 9.664,
  "formation_enthalpy_0k_ev_per_fu": 0.278
}

=====

Record 3
{
  "formula": "LaSnBr3",
  "functional": "PBE",
  "state": "optimized geometry",
  "lattice_angstrom": [[5.790, 0.000, 0.000], [0.000, 5.790, 0.000], [0.000, 0.000, 5.790]],
  "species": ["La", "Sn", "Br", "Br", "Br"],
  "frac_coords": [[0.000, 0.000, 0.000], [0.500, 0.500, 0.500], [0.000, 0.000, 0.500], [0.000, 0.500, 0.000], [0.500, 0.000, 0.000]],
  "n_ef_per_ev_atom": 1.071,
  "rho_g_cm3": 4.255,
  "formation_energy_uncorrected_ev_per_atom": -0.951
}

=====

Record 4
{
  "formula": "Th5In4Ga",
  "functional": "PBE",
  "state": "optimized geometry",
  "lattice_angstrom": [[3.495, 0.000, 0.000], [0.000, 3.495, 0.000], [0.000, 0.000, 22.836]],
  "species": ["Th", "Th", "Th", "Th", "Th", "In", "In", "In", "In", "Ga"],
  "frac_coords": [[0.000, 0.000, 0.000], [0.000, 0.000, 0.204], [0.000, 0.000, 0.410], [0.000, 0.000, 0.590], [0.000, 0.000, 0.796], [0.500, 0.500, 0.102], [0.500, 0.500, 0.306], [0.500, 0.500, 0.694], [0.500, 0.500, 0.898], [0.500, 0.500, 0.500]],
  "n_ef_per_ev_atom": 1.229,
  "rho_g_cm3": 10.054,
  "formation_enthalpy_0k_ev_per_fu": -3.157
}

=====

Record 5
{
  "formula": "Cs3NpS4",
  "functional": "PBE",
  "state": "optimized geometry",
  "lattice_angstrom": [[-4.190, 4.190, 4.607], [4.190, -4.190, 4.607], [4.190, 4.190, -4.607]],
  "species": ["Cs", "Cs", "Cs", "Np", "S", "S", "S", "S"],
  "frac_coords": [[0.000, 0.000, 0.000], [0.250, 0.750, 0.500], [0.750, 0.250, 0.500], [0.500, 0.500, 0.000], [0.289, 0.289, 0.578], [0.289, 0.711, 0.000], [0.711, 0.289, 0.000], [0.711, 0.711, 0.422]],
  "n_ef_per_ev_atom": 0.243,
  "rho_g_cm3": 3.922,
  "formation_energy_uncorrected_ev_per_atom": -1.005,
  "relative_energy_ev_per_atom": 0.176
}

=====

Record 6
{
  "formula": "Ac3NbAl2O9",
  "functional": "PBE",
  "state": "optimized geometry",
  "lattice_angstrom": [[5.558, 0.000, 0.000], [-2.779, 4.813, 0.000], [0.000, 0.000, 7.067]],
  "species": ["Ac", "Ac", "Ac", "Nb", "Al", "Al", "O", "O", "O", "O", "O", "O", "O", "O", "O"],
  "frac_coords": [[0.000, 0.000, 0.000], [0.333, 0.667, 0.681], [0.667, 0.333, 0.319], [0.000, 0.000, 0.500], [0.333, 0.667, 0.159], [0.667, 0.333, 0.841], [0.000, 0.500, 0.000], [0.172, 0.344, 0.313], [0.172, 0.828, 0.313], [0.344, 0.172, 0.687], [0.500, 0.000, 0.000], [0.500, 0.500, 0.000], [0.656, 0.828, 0.313], [0.828, 0.172, 0.687], [0.828, 0.656, 0.687]],
  "n_ef_per_ev_atom": 0.263,
  "rho_g_cm3": 8.537,
  "formation_energy_uncorrected_ev_per_atom": -3.028
}

=====

What is the formula in the first record?
MgCd8Rh2